1.
Compound: YInSb2F
Source: Alexandria via LeMat-Bulk
Functional: PBE
Structure: optimized geometry

Geometry as POSCAR:
```
YInSb2F
1.0
-0.247 5.228 -1.485
-2.487 1.353 5.180
4.928 0.842 2.146
Y Sb F In
1 2 1 1
Cartesian
-1.244 0.677 2.590
2.464 0.421 1.073
-0.123 2.614 -0.742
1.097 3.712 2.921
0.000 0.000 0.000
```

Values from the calculation:
Theoretical density, g/cm³: 4.430
Total DFT energy (no corrections), eV per atom: -3.710
N(E_F), states/eV per cell: 3.75
ΔE_f (raw), eV/atom: 0.154


2.
Compound: ZnInSbF6
Source: Alexandria via LeMat-Bulk
Functional: PBE
Structure: optimized geometry

Geometry as POSCAR:
```
ZnInSbF6
1.0
-5.122 -2.837 -0.210
-1.335 -3.376 -4.584
2.276 -4.352 2.575
Zn In Sb F
1 1 1 6
Cartesian
-1.020 -4.245 -0.319
-1.335 -3.387 -4.563
-3.251 -6.150 -2.005
0.027 -2.514 -0.540
-1.959 -7.587 -2.794
-1.975 -6.174 -0.353
-4.183 -7.770 -1.089
-1.652 -4.390 -2.240
-2.712 -3.417 0.443
```

Values from the calculation:
Theoretical density, g/cm³: 4.219
Total DFT energy (no corrections), eV per atom: -4.315
N(E_F), states/eV per cell: 0.00
ΔE_f (raw), eV/atom: -2.164